TlRuS2 | PBE-GGA | optimized geometry

Computed properties:
energy above the lowest structure with this stoichiometry = 719 meV per atom
calculated volume = 19.911 Å³ per atom
raw formation energy = 47 kJ per mole of atoms
final energy = -17.944 eV for the cell shown
total magnetic moment = 0.000 μB per atom

Cell lengths 10.0346, 10.0346, 10.0346 Å; angles 17.49, 17.49, 17.49 degrees
Fractional positions:
Ru1 0.0000 0.0000 0.0000
Tl1 0.5000 0.5000 0.5000
S1 0.9256 0.9256 0.9256
S2 0.0744 0.0744 0.0744